RbCe2ReO8 after structural relaxation. Source: the Alexandria database, functional PBE-GGA.

Geometry as extended XYZ:
```
12
Lattice="5.252 0.352 0.305 0.382 5.249 0.302 0.443 0.450 7.502" Properties=species:S:1:pos:R:3 pbc="T T T"
Rb 0.222 0.225 3.751
Ce 2.907 2.896 5.794
Ce 3.170 3.154 2.316
Re 0.000 0.000 0.000
O 1.372 4.331 1.642
O 4.286 4.269 0.693
O 4.344 1.355 1.642
O 4.705 1.720 6.468
O 1.790 1.781 7.416
O 1.733 4.696 6.467
O 3.920 3.911 4.158
O 2.157 2.139 3.952
```

Its density of states at the Fermi level is 0.00 states/eV/cell. The value obtained for the formation energy (no corrections) is -2.356 eV/atom.

Y2ScAg2 after structural relaxation. Source: the Alexandria database, functional PBE-GGA.

Geometry as extended XYZ:
```
10
Lattice="8.455 0.000 0.000 0.000 8.455 0.000 0.000 0.000 3.461" Properties=species:S:1:pos:R:3 pbc="T T T"
Y 2.950 7.177 0.000
Y 7.177 5.505 0.000
Y 5.505 1.278 0.000
Y 1.278 2.950 0.000
Sc 0.000 0.000 0.000
Sc 4.227 4.227 0.000
Ag 1.228 5.456 1.730
Ag 5.456 7.226 1.730
Ag 7.226 2.999 1.730
Ag 2.999 1.228 1.730
```

The calculation puts the formation enthalpy at 0 K at -0.047 eV/atom. Its density of states at the Fermi level is 5.44 states/eV/cell. For the energy above the most stable polymorph in this dataset, the calculation gives 0.147 eV per atom.

V6H2C3N after structural relaxation. Source: the Alexandria database, functional PBE-GGA.

Geometry as extended XYZ:
```
12
Lattice="-0.581 2.807 0.498 -4.590 -1.529 3.263 4.943 -1.184 3.939" Properties=species:S:1:pos:R:3 pbc="T T T"
V -1.139 -1.272 5.843
V -1.453 0.575 3.561
V 0.910 1.367 1.858
V 3.174 1.234 5.247
V -3.403 -1.139 2.453
V 1.225 -0.481 4.140
H -0.239 0.542 5.166
H 0.011 -0.448 2.535
C -2.586 0.639 1.881
C 2.028 1.290 3.594
C -2.256 -1.195 4.107
N -0.290 1.404 0.249
```

Its density of states at the Fermi level is 5.35 states/eV/cell.

Number 1: calculated total energy -93.23 eV per formula unit. Number 2: calculated total energy -25.20 eV per formula unit. Number 3: calculated total energy -104.48 eV per formula unit.